# CsTbMo2O8 (GGA+U, relaxed)
data_CsTbMo2O8
_chemical_formula_sum 'Cs2 Tb2 Mo4 O16'
_cell_length_a 5.1086
_cell_length_b 9.7667
_cell_length_c 8.2122
_cell_angle_alpha 90.00
_cell_angle_beta 90.00
_cell_angle_gamma 90.00
_space_group_name_H-M_alt 'P c c m'
_space_group_IT_number 49
_space_group_name_Hall '-P 2 2c'
loop_
_atom_site_label
_atom_site_fract_x
_atom_site_fract_y
_atom_site_fract_z
Cs1 0.0000 0.0000 0.2500
Tb1 0.0000 0.5000 0.2500
Mo1 0.4767 0.3073 0.0000
O1 0.2491 0.4339 0.5000
O2 0.2604 0.3170 0.1741
O3 0.3888 0.1424 0.5000
# * E_tot: -0.2617 hartree per atom
# * total magnetic moment: 0.00 Bohr magnetons per cell